# 1
# RbBa3Rh | Alexandria via LeMat-Bulk | PBE | relaxed
data_RbBa3Rh
_cell_length_a 7.878
_cell_length_b 7.890
_cell_length_c 12.409
_cell_angle_alpha 90.08
_cell_angle_beta 108.19
_cell_angle_gamma 119.95
_space_group_name_H-M_alt 'P -1'
_space_group_IT_number 2
loop_
_space_group_symop_operation_xyz
'x,y,z'
'-x,-y,-z'
loop_
_atom_site_label
_atom_site_fract_x
_atom_site_fract_y
_atom_site_fract_z
Rb1 0.170 0.334 0.006
Ba1 0.053 0.103 0.353
Ba2 0.248 0.550 0.647
Ba3 0.406 0.803 0.352
Rh1 0.167 0.833 0.500
# **E above lowest polymorph**: 0 meV per atom
# **Energy of formation from the pure elements**: -0.10 eV per atom

# 2
# Pr2Sm3HoSe6 | Alexandria via LeMat-Bulk | PBE | relaxed
data_Pr2Sm3HoSe6
_cell_length_a 18.206
_cell_length_b 4.166
_cell_length_c 8.420
_cell_angle_alpha 90.00
_cell_angle_beta 102.93
_cell_angle_gamma 90.00
_space_group_name_H-M_alt 'C 1 2/m 1'
_space_group_IT_number 12
loop_
_space_group_symop_operation_xyz
'x,y,z'
'-x,-y,-z'
'-x,y,-z'
'x,-y,z'
'x+1/2,y+1/2,z'
'-x+1/2,-y+1/2,-z'
'-x+1/2,y+1/2,-z'
'x+1/2,-y+1/2,z'
loop_
_atom_site_label
_atom_site_fract_x
_atom_site_fract_y
_atom_site_fract_z
Pr1 0.169 0.000 0.336
Sm1 0.000 0.500 0.500
Sm2 0.171 0.000 0.834
Ho1 0.000 0.500 0.000
Se1 0.003 0.000 0.760
Se2 0.162 0.500 0.075
Se3 0.164 0.500 0.588
# **Formation energy from raw total energies**: -1.81 eV per atom

# 3
# TiAlGa3 | Alexandria via LeMat-Bulk | PBE | relaxed
data_TiAlGa3
_cell_length_a 4.778
_cell_length_b 4.778
_cell_length_c 4.778
_cell_angle_alpha 90.00
_cell_angle_beta 90.00
_cell_angle_gamma 90.00
_space_group_name_H-M_alt 'P m -3 m'
_space_group_IT_number 221
_space_group_name_Hall '-P 4 2 3'
loop_
_atom_site_label
_atom_site_fract_x
_atom_site_fract_y
_atom_site_fract_z
Ti1 0.000 0.000 0.000
Al1 0.500 0.500 0.500
Ga1 0.000 0.500 0.500
# **E above lowest polymorph**: 758 meV per atom
# **Energy of formation from the pure elements**: 0.68 eV per atom

# 4
# Tb5Sm2Tl5 | Alexandria via LeMat-Bulk | PBE | relaxed
data_Tb5Sm2Tl5
_cell_length_a 12.058
_cell_length_b 5.070
_cell_length_c 12.463
_cell_angle_alpha 90.00
_cell_angle_beta 109.03
_cell_angle_gamma 90.00
_space_group_name_H-M_alt 'C 1 2/m 1'
_space_group_IT_number 12
loop_
_space_group_symop_operation_xyz
'x,y,z'
'-x,-y,-z'
'-x,y,-z'
'x,-y,z'
'x+1/2,y+1/2,z'
'-x+1/2,-y+1/2,-z'
'-x+1/2,y+1/2,-z'
'x+1/2,-y+1/2,z'
loop_
_atom_site_label
_atom_site_fract_x
_atom_site_fract_y
_atom_site_fract_z
Tb1 0.000 0.000 0.000
Tb2 0.153 0.000 0.510
Tb3 0.154 0.000 0.792
Sm1 0.064 0.500 0.266
Tl1 0.000 0.500 0.500
Tl2 0.154 0.500 0.969
Tl3 0.235 0.000 0.286
# **Energy of formation from the pure elements**: -0.22 eV per atom

# 5
# CdFe3W | Alexandria via LeMat-Bulk | PBE | relaxed
data_CdFe3W
_cell_length_a 4.435
_cell_length_b 4.435
_cell_length_c 4.435
_cell_angle_alpha 90.00
_cell_angle_beta 90.00
_cell_angle_gamma 90.00
_space_group_name_H-M_alt 'P m -3 m'
_space_group_IT_number 221
_space_group_name_Hall '-P 4 2 3'
loop_
_atom_site_label
_atom_site_fract_x
_atom_site_fract_y
_atom_site_fract_z
Cd1 0.000 0.000 0.000
Fe1 0.000 0.000 0.500
W1 0.500 0.500 0.500
# **E above lowest polymorph**: 1254 meV per atom
# **Energy of formation from the pure elements**: 2.64 eV per atom

# 6
# HoScAgAu | Alexandria via LeMat-Bulk | PBE | relaxed
data_HoScAgAu
_cell_length_a 7.026
_cell_length_b 7.026
_cell_length_c 7.026
_cell_angle_alpha 90.00
_cell_angle_beta 90.00
_cell_angle_gamma 90.00
_space_group_name_H-M_alt 'F -4 3 m'
_space_group_IT_number 216
_space_group_name_Hall 'F -4 2 3'
loop_
_atom_site_label
_atom_site_fract_x
_atom_site_fract_y
_atom_site_fract_z
Ho1 0.000 0.000 0.000
Sc1 0.000 0.000 0.500
Ag1 0.250 0.250 0.750
Au1 0.250 0.250 0.250
# **E above lowest polymorph**: 13 meV per atom
# **Energy of formation from the pure elements**: -0.55 eV per atom

# 7
# CaMg2Zn3 | Alexandria via LeMat-Bulk | PBE | relaxed
data_CaMg2Zn3
_cell_length_a 11.039
_cell_length_b 8.047
_cell_length_c 6.005
_cell_angle_alpha 90.00
_cell_angle_beta 90.00
_cell_angle_gamma 90.00
_space_group_name_H-M_alt 'C m c m'
_space_group_IT_number 63
_space_group_name_Hall '-C 2c 2'
loop_
_atom_site_label
_atom_site_fract_x
_atom_site_fract_y
_atom_site_fract_z
Ca1 0.000 0.142 0.250
Mg1 0.144 0.500 0.000
Zn1 0.000 0.273 0.750
Zn2 0.216 0.207 0.750
# **E above lowest polymorph**: 41 meV per atom
# **Energy of formation from the pure elements**: -0.10 eV per atom

# 8
# CrHPb2 | Alexandria via LeMat-Bulk | PBE | relaxed
data_CrHPb2
_cell_length_a 6.909
_cell_length_b 6.909
_cell_length_c 6.909
_cell_angle_alpha 90.00
_cell_angle_beta 90.00
_cell_angle_gamma 90.00
_space_group_name_H-M_alt 'F m -3 m'
_space_group_IT_number 225
_space_group_name_Hall '-F 4 2 3'
loop_
_atom_site_label
_atom_site_fract_x
_atom_site_fract_y
_atom_site_fract_z
Cr1 0.000 0.000 0.000
H1 0.000 0.000 0.500
Pb1 0.250 0.250 0.250
# **E above lowest polymorph**: 0 meV per atom